Record 1
VASP calculation (PBE) on a relaxed SbPtBr4 crystal.

Lattice parameters (Å, degrees): 6.050 6.050 6.050 60.00 60.00 60.00
Fractional coordinates of all 6 atoms:
Br (0.871, 0.376, 0.376)
Pt (0.750, 0.750, 0.750)
Br (0.376, 0.871, 0.376)
Sb (0.000, 0.000, 0.000)
Br (0.376, 0.376, 0.871)
Br (0.376, 0.376, 0.376)

Values from the calculation:
Energy relative to the elements, uncorrected   1.067 eV/atom
Energy   -1.742 eV per atom
Crystal system   cubic
Volume   26.09 Å³/atom
Density   6.751 g/cm³

=====

Record 2
VASP calculation (PBE) on a relaxed Li3NiH4 crystal.

Lattice parameters (Å, degrees): 4.728 4.728 5.542 90.00 90.00 109.31
Fractional coordinates of all 16 atoms:
H (0.515, 0.201, 0.896)
Li (0.750, 0.500, 0.631)
Li (0.750, 0.500, 0.118)
H (0.985, 0.799, 0.896)
Li (0.250, 0.000, 0.629)
H (0.471, 0.240, 0.349)
Li (0.250, 0.500, 0.882)
Ni (0.750, 0.000, 0.865)
Li (0.250, 0.500, 0.369)
H (0.029, 0.760, 0.349)
H (0.529, 0.760, 0.651)
H (0.015, 0.201, 0.104)
Ni (0.250, 0.000, 0.135)
Li (0.750, 0.000, 0.371)
H (0.485, 0.799, 0.104)
H (0.971, 0.240, 0.651)

Values from the calculation:
Energy   -3.426 eV per atom
Offset from the most stable computed form   13 kJ/mol of formula units
Crystal system   monoclinic
Volume   7.31 Å³/atom
Density   2.373 g/cm³

=====

Record 3
VASP calculation (PBE) on a relaxed PmDy8Hg2 crystal.

Lattice parameters (Å, degrees): 5.556 8.645 8.645 118.85 100.30 100.30
Fractional coordinates of all 11 atoms:
Dy (0.500, 0.226, 0.774)
Dy (0.702, 0.401, 0.401)
Dy (0.298, 0.599, 0.599)
Dy (0.892, 0.908, 0.679)
Dy (0.892, 0.679, 0.908)
Dy (0.108, 0.321, 0.092)
Dy (0.108, 0.092, 0.321)
Pm (0.500, 0.000, 0.000)
Dy (0.500, 0.774, 0.226)
Hg (0.000, 0.306, 0.694)
Hg (0.000, 0.694, 0.306)

Values from the calculation:
Energy   -3.883 eV per atom
E_form   -0.049 eV/atom
Crystal system   monoclinic
Volume   30.95 Å³/atom
Density   9.004 g/cm³

=====

Record 4
VASP calculation (PBE) on a relaxed Cd2CoNi crystal.

Lattice parameters (Å, degrees): 4.880 4.880 4.880 132.32 132.32 69.73
Last column: magnetic moment on the atom in μB.
Fractional coordinates of all 4 atoms:
Cd (0.000, 0.000, 0.000)  -0.02
Co (0.500, 0.500, 0.000)  1.43
Cd (0.250, 0.750, 0.500)  -0.02
Ni (0.750, 0.250, 0.500)  0.24

Values from the calculation:
Energy   -3.384 eV per atom
E_form   0.295 eV/atom
Offset from the most stable computed form   53 kJ/mol of formula units
Crystal system   tetragonal
Volume   15.58 Å³/atom
Density   9.126 g/cm³

=====

Record 5
VASP calculation (PBE) on a relaxed KLiPaO3 crystal.

Lattice parameters (Å, degrees): 3.601 6.315 9.079 90.00 90.00 106.57
Last column: magnetic moment on the atom in μB.
Fractional coordinates of all 12 atoms:
O (0.392, 0.784, 0.944)  -0.02
Pa (0.000, 0.000, 0.500)  0.94
O (0.960, 0.920, 0.250)  -0.02
K (0.729, 0.459, 0.750)  0.01
Li (0.456, 0.911, 0.750)  0.01
Pa (0.000, 0.000, 0.000)  0.94
O (0.040, 0.080, 0.750)  -0.02
Li (0.544, 0.089, 0.250)  0.01
O (0.392, 0.784, 0.556)  -0.02
O (0.608, 0.216, 0.444)  -0.02
K (0.271, 0.541, 0.250)  0.01
O (0.608, 0.216, 0.056)  -0.02

Values from the calculation:
Energy relative to the elements, uncorrected   -2.543 eV/atom
Energy   -7.107 eV per atom
Crystal system   orthorhombic
Volume   16.49 Å³/atom
Density   5.455 g/cm³

=====

Record 6
VASP calculation (PBE) on a relaxed Mg17MnAl11 crystal.

Lattice parameters (Å, degrees): 9.104 9.104 9.098 109.73 109.73 109.55
Last column: magnetic moment on the atom in μB.
Fractional coordinates of all 29 atoms:
Al (0.813, 0.633, 0.995)  0.00
Mn (0.362, 0.362, 0.188)  3.13
Mg (0.602, 0.998, 0.316)  0.00
Al (0.195, 0.195, 0.835)  -0.02
Mg (0.686, 0.284, 0.686)  0.00
Al (0.819, 0.185, 0.187)  0.01
Al (0.367, 0.184, 0.363)  -0.01
Mg (0.346, 0.008, 0.006)  -0.01
Mg (0.395, 0.709, 0.393)  -0.01
Al (0.185, 0.819, 0.187)  0.01
Mg (0.998, 0.602, 0.316)  0.00
Al (0.633, 0.813, 0.995)  0.00
Al (0.184, 0.367, 0.363)  -0.01
Mg (0.676, 0.676, 0.286)  -0.01
Mg (0.318, 0.597, 0.003)  -0.01
Al (0.819, 0.004, 0.634)  0.00
Mg (0.994, 0.994, 0.345)  0.00
Mg (0.650, 0.650, 0.643)  0.00
Mg (0.709, 0.395, 0.393)  -0.01
Mg (0.597, 0.318, 0.003)  -0.01
Mg (0.284, 0.686, 0.686)  0.00
Mg (0.008, 0.346, 0.006)  -0.01
Al (0.636, 0.001, 0.813)  0.00
Al (0.004, 0.819, 0.634)  0.00
Mg (0.005, 0.005, 0.002)  -0.01
Al (0.001, 0.636, 0.813)  0.00
Mg (0.317, 0.001, 0.598)  0.00
Mg (0.397, 0.397, 0.714)  0.01
Mg (0.001, 0.317, 0.598)  0.00

Values from the calculation:
Energy   -2.688 eV per atom
E_form   -0.018 eV/atom
Crystal system   monoclinic
Volume   19.87 Å³/atom
Density   2.204 g/cm³